# Na3SrLa

A relaxed Na3SrLa crystal (PBE, the Alexandria database).

```
Na3SrLa
1.0
6.1445 0.0000 0.0000
0.0000 6.1445 0.0000
0.0000 0.0000 6.1445
Na Sr La
3 1 1
Direct
0.0000 0.0000 0.5000
0.0000 0.5000 0.0000
0.5000 0.0000 0.0000
0.0000 0.0000 0.0000
0.5000 0.5000 0.5000
```

Results
Calculated formation energy   3.72 eV per formula unit
Uncorrected energy   -6.84 eV per cell
Size of the total moment   0.81 Bohr magnetons per cell
Space-group type   Pm-3m, No. 221